# Ho2Ga4Cu5 | Alexandria | PBE | optimized geometry
# V, Å³/f.u.: 187.2
# E_form, eV per atom: -0.293
data_Ho2Ga4Cu5
_cell_length_a 5.499
_cell_length_b 9.225
_cell_length_c 14.762
_cell_angle_alpha 90.00
_cell_angle_beta 90.00
_cell_angle_gamma 90.00
_space_group_name_H-M_alt 'F m m m'
_space_group_IT_number 69
_space_group_name_Hall '-F 2 2'
loop_
_atom_site_label
_atom_site_fract_x
_atom_site_fract_y
_atom_site_fract_z
Ho1 0.000 0.000 0.138
Ga1 0.000 0.151 0.368
Cu1 0.000 0.000 0.500
Cu2 0.250 0.250 0.000
Cu3 0.250 0.250 0.250

# Ho2Ga3Cu | Alexandria | PBE | optimized geometry
# Offset from the most stable computed form, meV/atom: 7
# V, Å³/f.u.: 118.2
# E_form, eV per atom: -0.590
data_Ho2Ga3Cu
_cell_length_a 3.586
_cell_length_b 4.365
_cell_length_c 7.551
_cell_angle_alpha 90.00
_cell_angle_beta 90.00
_cell_angle_gamma 90.00
_space_group_name_H-M_alt 'P m m 2'
_space_group_IT_number 25
_space_group_name_Hall 'P 2 -2'
loop_
_atom_site_label
_atom_site_fract_x
_atom_site_fract_y
_atom_site_fract_z
Ho1 0.000 0.000 0.000
Ho2 0.000 0.500 0.492
Ga1 0.500 0.000 0.653
Ga2 0.500 0.500 0.171
Ga3 0.500 0.500 0.832
Cu1 0.500 0.000 0.325

# Ho2GaCu | Alexandria | PBE | optimized geometry
# V, Å³/f.u.: 86.5
# E_form, eV per atom: -0.423
data_Ho2GaCu
_cell_length_a 3.464
_cell_length_b 3.464
_cell_length_c 7.212
_cell_angle_alpha 90.00
_cell_angle_beta 90.00
_cell_angle_gamma 90.00
_space_group_name_H-M_alt 'P 4/m m m'
_space_group_IT_number 123
_space_group_name_Hall '-P 4 2'
loop_
_atom_site_label
_atom_site_fract_x
_atom_site_fract_y
_atom_site_fract_z
Ho1 0.000 0.000 0.240
Ga1 0.500 0.500 0.500
Cu1 0.500 0.500 0.000